Density functional theory data (GGA-PBE) for a relaxed structure of Li2TlRh2O6.

Summary:
Final energy, hartree per atom: -0.2068
Symmetry: C2/m
E_form (uncorrected), eV/atom: -1.0218

Unit cell a=5.6193 b=5.6193 c=5.1482 alpha=95.44 beta=95.44 gamma=121.54
With the nearest neighbours (Å) after each atom.
Sites, in units of the cell vectors:
Rh1 0.6640 0.3360 0.5000  6 O 2.04-2.09
O1 0.6727 0.6727 0.7007  2 Rh 2.04, 1 Tl 2.24
Tl1 0.0000 0.0000 0.5000  6 O 2.24-2.37
O2 0.9708 0.5919 0.2822  2 Li 2.05-2.10, 2 Rh 2.06-2.09
O3 0.0292 0.4081 0.7178  2 Li 2.05-2.10, 2 Rh 2.06-2.09
O4 0.4081 0.0292 0.7178  2 Li 2.05-2.10, 2 Rh 2.06-2.09
O5 0.3273 0.3273 0.2993  2 Rh 2.04, 1 Tl 2.24
O6 0.5919 0.9708 0.2822  2 Li 2.05-2.10, 2 Rh 2.06-2.09
Li1 0.7667 0.2333 0.0000  4 O 2.05-2.10
Rh2 0.3360 0.6640 0.5000  6 O 2.04-2.09
Li2 0.2333 0.7667 0.0000  4 O 2.05-2.10